The following is a PBE calculation of crystalline NaYTe3Pt at its relaxed geometry, from OQMD via LeMat-Bulk.

Spin magnetization: 0.00 Bohr magnetons per cell
Electronic total energy: -114.2 eV per cell
Calculated volume: 29.5 A^3/atom

Cell: 10.4799 4.1751 16.1872 Å, 90.00 90.00 90.00°
Space group Pnma (No. 62)
Unique sites:
1 Na 0.2293 0.2500 0.0112 x4
2 Y 0.0151 0.7500 0.7481 x4
3 Te 0.0644 0.7500 0.1203 x4
4 Te 0.0982 0.2500 0.6176 x4
5 Te 0.2357 0.2500 0.3494 x4
6 Pt 0.2357 0.7500 0.2423 x4


The following is a PBE calculation of crystalline NaYTe3Pt at its relaxed geometry, from OQMD via LeMat-Bulk.

Spin magnetization: 0.01 Bohr magnetons per cell
Electronic total energy: -114.2 eV per cell
Calculated volume: 29.2 A^3/atom

Cell: 4.1637 16.0210 10.4914 Å, 90.00 90.00 90.00°
Space group Cmcm (No. 63)
Unique sites:
1 Na 0.0000 0.2375 0.2500 x4
2 Y 0.0000 0.0000 0.0000 x4
3 Te 0.0000 0.0988 0.7500 x4
4 Te 0.0000 0.3668 0.5790 x8
5 Pt 0.0000 0.4896 0.7500 x4